# Al8Ni7

A relaxed Al8Ni7 crystal (GGA-PBE, OQMD).

As for the crystal system: tetragonal. The energy relative to the lowest polymorph listed for this composition is 117 meV per atom.

The space group is P4_2/mnm (No. 136) and the conventional cell measures 8.842, 8.842 and 4.966 Å, with angles of 90.00, 90.00 and 90.00 degrees. The inequivalent atoms are Al at (0.029, 0.349, 0.000), Al at (0.048, 0.251, 0.500), Ni at (0.000, 0.000, 0.500), Ni at (0.095, 0.095, 0.000) and Ni at (0.200, 0.800, 0.250).